Record 1
Entry from the Open Quantum Materials Database: a relaxed structure of AsIrPd2 (PBE).

POSCAR file:
```
AsIrPd2
1.0
6.240 0.000 0.000
0.000 6.240 0.000
0.000 0.000 6.240
As Ir Pd
4 4 8
direct
0.000 0.000 0.000
0.000 0.500 0.500
0.500 0.000 0.500
0.500 0.500 0.000
0.250 0.250 0.250
0.250 0.750 0.750
0.750 0.250 0.750
0.750 0.750 0.250
0.000 0.000 0.500
0.000 0.500 0.000
0.250 0.250 0.750
0.250 0.750 0.250
0.500 0.000 0.000
0.500 0.500 0.500
0.750 0.250 0.250
0.750 0.750 0.750
```

V ... 15.2 Å³/atom
Energy ... -5.945 eV per atom
Space group ... F-43m

---

Record 2
Entry from the Open Quantum Materials Database: a relaxed structure of Y2TcIr (PBE).

POSCAR file:
```
Y2TcIr
1.0
6.768 0.000 0.000
0.000 6.768 0.000
0.000 0.000 6.768
Y Tc Ir
8 4 4
direct
0.000 0.000 0.000
0.000 0.500 0.500
0.250 0.250 0.250
0.250 0.750 0.750
0.500 0.000 0.500
0.500 0.500 0.000
0.750 0.250 0.750
0.750 0.750 0.250
0.000 0.000 0.500
0.000 0.500 0.000
0.500 0.000 0.000
0.500 0.500 0.500
0.250 0.250 0.750
0.250 0.750 0.250
0.750 0.250 0.250
0.750 0.750 0.750
```

V ... 19.4 Å³/atom
Energy of formation ... 0.3 eV per formula unit
Space group ... F-43m

---

Please write out number 1 again, unchanged.
Entry from the Open Quantum Materials Database: a relaxed structure of AsIrPd2 (PBE).

POSCAR file:
```
AsIrPd2
1.0
6.240 0.000 0.000
0.000 6.240 0.000
0.000 0.000 6.240
As Ir Pd
4 4 8
direct
0.000 0.000 0.000
0.000 0.500 0.500
0.500 0.000 0.500
0.500 0.500 0.000
0.250 0.250 0.250
0.250 0.750 0.750
0.750 0.250 0.750
0.750 0.750 0.250
0.000 0.000 0.500
0.000 0.500 0.000
0.250 0.250 0.750
0.250 0.750 0.250
0.500 0.000 0.000
0.500 0.500 0.500
0.750 0.250 0.250
0.750 0.750 0.750
```

V ... 15.2 Å³/atom
Energy ... -5.945 eV per atom
Space group ... F-43m